## MnMoAu2 (PBE)

Data for crystalline MnMoAu2 at its relaxed geometry.

Unit cell a=4.0852 b=2.8057 c=6.3814 alpha=64.06 beta=90.00 gamma=90.00
Closest atoms and distances in Å follow each position.
Element x y z (fractional)
Au: 0.0000 0.0002 0.0002  4 Au 2.81-2.87, 4 Mn 2.86, 4 Mo 2.86-2.87
Mn: 0.5000 0.2500 0.2500  2 Mn 2.81, 8 Au 2.86, 2 Mo 2.87
Au: 0.0000 0.4998 0.4998  4 Au 2.81-2.87, 4 Mn 2.86, 4 Mo 2.86-2.87
Mo: 0.5000 0.7500 0.7500  2 Mo 2.81, 8 Au 2.86-2.87, 2 Mn 2.87

The calculation puts the density of states at the Fermi level at 3.7 states/eV/cell. The value obtained for the formation energy is 0.226 eV per atom. The calculated volume comes out at 65.77 Å³ per cell. The energy above the most stable polymorph in this dataset comes out at 0.0914 eV/atom. As for the total moment: 3.29 μB/f.u.